11
Lattice="9.3660 -2.7338 0.0000 9.3660 2.7338 0.0000 -2.2993 0.0000 6.9072" Properties=species:S:1:pos:R:3 comment="Ca8Tl2Pd | Alexandria via LeMat-Bulk | PBE-GGA | relaxed" magmom_total_mub_per_cell=0.0 total_energy_ry_per_atom=-0.1974 e_form_mev_per_atom=-327 de_polymorph_mev_per_atom=0 pbc="T T T"
Ca -0.2323 0.0000 2.0058
Ca 2.0286 0.0000 5.4852
Ca 5.2413 0.0000 3.7683
Ca 7.4278 0.0000 0.5034
Ca 9.0049 0.0000 6.4038
Ca 11.1914 0.0000 3.1388
Ca 14.4041 0.0000 1.4220
Ca 16.6649 0.0000 4.9013
Tl 2.9194 0.0000 1.4498
Tl 13.5133 0.0000 5.4574
Pd 8.2163 0.0000 3.4536



16
Lattice="4.4153 0.0000 0.0000 0.0000 4.4153 0.0000 0.0000 0.0000 18.7807" Properties=species:S:1:pos:R:3 comment="CaTlPd2 | Alexandria via LeMat-Bulk | PBE-GGA | relaxed" magmom_total_mub_per_cell=0.0 total_energy_ry_per_atom=-0.2818 e_form_mev_per_atom=-146 pbc="T T T"
Ca 0.0000 0.0000 0.0000
Ca 0.0000 2.2076 4.6952
Ca 2.2076 0.0000 14.0855
Ca 2.2076 2.2076 9.3903
Tl 0.0000 0.0000 9.3903
Tl 0.0000 2.2076 14.0855
Tl 2.2076 0.0000 4.6952
Tl 2.2076 2.2076 0.0000
Pd 0.9985 1.1038 11.7379
Pd 1.1038 3.2062 16.4331
Pd 1.1038 3.4168 7.0427
Pd 1.2091 1.1038 2.3476
Pd 3.2062 3.3115 2.3476
Pd 3.3115 0.9985 7.0427
Pd 3.3115 1.2091 16.4331
Pd 3.4168 3.3115 11.7379



12
Lattice="2.8407 1.6401 8.8067 -2.8407 1.6401 8.8067 0.0000 -3.2802 8.8067" Properties=species:S:1:pos:R:3 comment="Ca3Tl2Pd7 | Alexandria via LeMat-Bulk | PBE-GGA | relaxed" magmom_total_mub_per_cell=0.0 total_energy_ry_per_atom=-0.3264 e_form_mev_per_atom=-517 pbc="T T T"
Ca 0.0000 0.0000 0.0000
Ca 0.0000 0.0000 3.7048
Ca 0.0000 0.0000 22.7153
Tl 0.0000 0.0000 8.8133
Tl 0.0000 0.0000 17.6068
Pd -1.4327 -0.8272 11.0699
Pd 0.0000 -1.6543 15.3502
Pd -1.4327 0.8272 15.3502
Pd 0.0000 0.0000 13.2101
Pd 1.4327 -0.8272 11.0699
Pd 0.0000 1.6543 11.0699
Pd 1.4327 0.8272 15.3502



19
Lattice="4.6491 2.6841 4.6067 -4.6491 2.6841 4.6067 0.0000 -5.3683 4.6067" Properties=species:S:1:pos:R:3 comment="Ca2Tl2Pd15 | Alexandria via LeMat-Bulk | PBE-GGA | relaxed" magmom_total_mub_per_cell=0.0 total_energy_ry_per_atom=-0.3530 e_form_mev_per_atom=-244 pbc="T T T"
Ca 0.0000 0.0000 1.9917
Ca 0.0000 0.0000 11.8283
Tl 0.0000 0.0000 5.4303
Tl 0.0000 0.0000 8.3897
Pd -2.3245 -1.3421 4.6067
Pd 0.0000 -2.7273 4.4503
Pd -2.3619 1.3636 4.4503
Pd -1.4334 -2.4827 6.9100
Pd -2.8668 0.0000 6.9100
Pd -2.3619 -1.3636 9.3697
Pd -2.3245 1.3421 9.2133
Pd 1.4334 -2.4827 6.9100
Pd 0.0000 2.6841 4.6067
Pd -1.4334 2.4827 6.9100
Pd 2.3619 1.3636 4.4503
Pd 2.8668 0.0000 6.9100
Pd 1.4334 2.4827 6.9100
Pd 2.3619 -1.3636 9.3697
Pd 0.0000 2.7273 9.3697



4
Lattice="5.1314 0.0000 0.0000 0.0000 5.1314 0.0000 0.0000 0.0000 3.8716" Properties=species:S:1:pos:R:3 comment="Ca2TlPd | Alexandria via LeMat-Bulk | PBE-GGA | relaxed" magmom_total_mub_per_cell=0.0 total_energy_ry_per_atom=-0.2472 e_form_mev_per_atom=-473 de_polymorph_mev_per_atom=61 pbc="T T T"
Ca 0.0000 2.5657 0.0000
Ca 2.5657 0.0000 0.0000
Tl 0.0000 0.0000 1.9358
Pd 2.5657 2.5657 1.9358



16
Lattice="4.0859 0.0000 0.0000 0.0000 4.0859 0.0000 0.0000 0.0000 16.4388" Properties=species:S:1:pos:R:3 comment="CaTl3Pd12 | Alexandria via LeMat-Bulk | PBE-GGA | relaxed" magmom_total_mub_per_cell=0.0 total_energy_ry_per_atom=-0.3470 e_form_mev_per_atom=-258 pbc="T T T"
Ca 0.0000 0.0000 0.0000
Tl 0.0000 0.0000 4.1483
Tl 0.0000 0.0000 8.2194
Tl 0.0000 0.0000 12.2905
Pd 0.0000 2.0430 2.1079
Pd 0.0000 2.0430 6.1744
Pd 0.0000 2.0430 10.2645
Pd 0.0000 2.0430 14.3309
Pd 2.0430 0.0000 2.1079
Pd 2.0430 0.0000 6.1744
Pd 2.0430 0.0000 10.2645
Pd 2.0430 0.0000 14.3309
Pd 2.0430 2.0430 0.0000
Pd 2.0430 2.0430 4.1090
Pd 2.0430 2.0430 8.2194
Pd 2.0430 2.0430 12.3298



9
Lattice="5.0440 -2.3325 0.0000 5.0440 2.3325 0.0000 -0.8461 0.0000 8.9295" Properties=species:S:1:pos:R:3 comment="Ca3Tl2Pd4 | Alexandria via LeMat-Bulk | PBE-GGA | relaxed" magmom_total_mub_per_cell=0.0 total_energy_ry_per_atom=-0.2984 e_form_mev_per_atom=-559 pbc="T T T"
Ca 0.0000 0.0000 0.0000
Ca 3.2446 0.0000 5.4502
Ca 5.9973 0.0000 3.4793
Tl 2.9889 0.0000 2.0504
Tl 6.2530 0.0000 6.8791
Pd 0.2728 0.0000 5.6479
Pd 2.0250 0.0000 8.1631
Pd 7.2169 0.0000 0.7665
Pd 8.9691 0.0000 3.2816



6
Lattice="0.0000 3.8388 3.8388 3.8388 0.0000 3.8388 3.8388 3.8388 0.0000" Properties=species:S:1:pos:R:3 comment="CaTlPd4 | Alexandria via LeMat-Bulk | PBE-GGA | relaxed" magmom_total_mub_per_cell=0.0 total_energy_ry_per_atom=-0.3424 e_form_mev_per_atom=-469 pbc="T T T"
Ca 0.0000 0.0000 0.0000
Tl 1.9194 1.9194 1.9194
Pd 4.7967 2.8810 2.8810
Pd 2.8810 4.7967 2.8810
Pd 2.8810 2.8810 4.7967
Pd 4.7967 4.7967 4.7967



18
Lattice="9.0150 0.0000 0.0000 0.0000 9.0150 0.0000 0.0000 0.0000 5.8037" Properties=species:S:1:pos:R:3 comment="Ca4TlPd4 | Alexandria via LeMat-Bulk | PBE-GGA | relaxed" magmom_total_mub_per_cell=0.0 total_energy_ry_per_atom=-0.2902 e_form_mev_per_atom=-488 pbc="T T T"
Ca 0.4997 6.0784 0.7497
Ca 1.5709 8.5154 3.6516
Ca 2.9366 5.0072 3.6516
Ca 4.0078 7.4441 0.7497
Ca 5.0072 1.5709 5.0540
Ca 6.0784 4.0078 2.1521
Ca 7.4441 0.4997 2.1521
Ca 8.5154 2.9366 5.0540
Tl 2.2538 2.2538 1.4509
Tl 6.7613 6.7613 4.3528
Pd 0.0810 5.6387 3.6309
Pd 1.1312 8.9341 0.7290
Pd 3.3763 4.5885 0.7290
Pd 4.4266 7.8838 3.6309
Pd 4.5885 1.1312 2.1729
Pd 5.6387 4.4266 5.0747
Pd 7.8838 0.0810 5.0747
Pd 8.9341 3.3763 2.1729



18
Lattice="-4.8277 4.8689 5.5181 4.8277 -4.8689 5.5181 4.8277 4.8689 -5.5181" Properties=species:S:1:pos:R:3 comment="Ca12TlPd5 | Alexandria via LeMat-Bulk | PBE-GGA | relaxed" magmom_total_mub_per_cell=0.0 total_energy_ry_per_atom=-0.2497 e_form_mev_per_atom=-490 pbc="T T T"
Ca 4.8277 3.0197 -2.9023
Ca 2.7445 1.7191 0.0000
Ca 6.9109 1.7191 0.0000
Ca 1.8006 4.8689 -1.8004
Ca 3.0271 0.0000 3.7178
Ca 0.0000 1.8491 2.6158
Ca 4.8277 3.0197 2.9023
Ca 1.8006 4.8689 1.8004
Ca 3.0271 0.0000 7.3185
Ca -2.0832 3.1498 5.5181
Ca 2.0832 3.1498 5.5181
Ca 0.0000 1.8491 8.4205
Tl 0.0000 0.0000 5.5181
Pd 0.0000 0.0000 0.0000
Pd 4.8277 0.0000 1.4241
Pd 0.0000 3.1516 0.0000
Pd 0.0000 6.5861 0.0000
Pd 0.0000 4.8689 4.0941



8
Lattice="5.8475 0.0000 0.0000 -2.9238 5.0641 0.0000 0.0000 0.0000 4.6805" Properties=species:S:1:pos:R:3 comment="CaTlPd6 | Alexandria via LeMat-Bulk | PBE-GGA | relaxed" magmom_total_mub_per_cell=0.0 total_energy_ry_per_atom=-0.3508 e_form_mev_per_atom=-332 de_polymorph_mev_per_atom=0 pbc="T T T"
Ca 0.0000 0.0000 0.0000
Tl 2.9238 1.6880 2.3403
Pd -1.4397 2.5448 0.0000
Pd 0.0000 1.7476 2.3403
Pd -1.4103 4.1903 2.3403
Pd 1.4397 2.5448 0.0000
Pd 0.0000 5.0385 0.0000
Pd 1.4103 4.1903 2.3403



16
Lattice="5.5242 0.0000 0.0000 0.0000 5.6045 0.0000 0.0000 0.0000 13.3979" Properties=species:S:1:pos:R:3 comment="CaTlPd2 | Alexandria via LeMat-Bulk | PBE-GGA | relaxed" magmom_total_mub_per_cell=0.0 total_energy_ry_per_atom=-0.2869 e_form_mev_per_atom=-215 pbc="T T T"
Ca 1.3810 0.0000 0.9970
Ca 1.3810 2.8022 5.4907
Ca 4.1431 0.0000 12.4010
Ca 4.1431 2.8022 7.9072
Tl 1.3810 0.0000 10.8079
Tl 1.3810 2.8022 10.9845
Tl 4.1431 0.0000 2.5900
Tl 4.1431 2.8022 2.4134
Pd 0.0000 0.0000 6.6990
Pd 0.0000 2.8022 0.0000
Pd 1.3810 1.4567 8.4840
Pd 1.3810 4.1477 8.4840
Pd 2.7621 0.0000 6.6990
Pd 2.7621 2.8022 0.0000
Pd 4.1431 1.4567 4.9139
Pd 4.1431 4.1477 4.9139



14
Lattice="4.2125 2.4321 5.5193 -4.2125 2.4321 5.5193 0.0000 -4.8642 5.5193" Properties=species:S:1:pos:R:3 comment="CaTl3Pd3 | Alexandria via LeMat-Bulk | PBE-GGA | relaxed" magmom_total_mub_per_cell=0.0 total_energy_ry_per_atom=-0.2780 e_form_mev_per_atom=-256 de_polymorph_mev_per_atom=32 pbc="T T T"
Ca 0.0000 0.0000 2.8061
Ca 0.0000 0.0000 13.7517
Tl -1.2487 -2.3068 6.3614
Tl -2.6221 -0.0720 10.1964
Tl -1.3734 2.2348 6.3614
Tl 1.3734 -2.2348 10.1964
Tl 2.6221 0.0720 6.3614
Tl 1.2487 2.3068 10.1964
Pd -2.7209 -0.0319 7.4501
Pd -1.3328 -2.3723 9.1077
Pd 1.3881 -2.3404 7.4501
Pd -1.3881 2.3404 9.1077
Pd 1.3328 2.3723 7.4501
Pd 2.7209 0.0319 9.1077



14
Lattice="5.1857 -2.8267 0.0000 5.1857 2.8267 0.0000 0.0000 0.0000 9.5489" Properties=species:S:1:pos:R:3 comment="CaTl2Pd4 | Alexandria via LeMat-Bulk | PBE-GGA | relaxed" magmom_total_mub_per_cell=0.0 total_energy_ry_per_atom=-0.3113 e_form_mev_per_atom=-307 pbc="T T T"
Ca 0.0000 0.0000 0.0000
Ca 5.1857 0.0000 4.7744
Tl 1.8905 0.0000 4.7744
Tl 3.2952 0.0000 0.0000
Tl 7.0762 0.0000 0.0000
Tl 8.4808 0.0000 4.7744
Pd 2.5928 1.4101 7.1616
Pd 5.1857 2.8143 6.7491
Pd 5.1857 0.0124 1.9746
Pd 2.5928 -1.4101 2.3872
Pd 7.7785 1.4101 7.1616
Pd 5.1857 -0.0124 7.5742
Pd 5.1857 -2.8143 2.7998
Pd 7.7785 -1.4101 2.3872



8
Lattice="5.2262 0.0000 0.0000 0.0000 5.2262 0.0000 0.0000 0.0000 5.2262" Properties=species:S:1:pos:R:3 comment="CaTlPd6 | Alexandria via LeMat-Bulk | PBE-GGA | relaxed" magmom_total_mub_per_cell=0.0 total_energy_ry_per_atom=-0.3393 e_form_mev_per_atom=-175 de_polymorph_mev_per_atom=157 pbc="T T T"
Ca 0.0000 0.0000 0.0000
Tl 2.6131 2.6131 2.6131
Pd 0.0000 1.3160 2.6131
Pd 0.0000 3.9102 2.6131
Pd 1.3160 2.6131 0.0000
Pd 2.6131 0.0000 1.3160
Pd 2.6131 0.0000 3.9102
Pd 3.9102 2.6131 0.0000



18
Lattice="8.3817 -3.9051 0.0000 8.3817 3.9051 0.0000 0.0000 0.0000 7.8052" Properties=species:S:1:pos:R:3 comment="Ca5Tl2Pd2 | Alexandria via LeMat-Bulk | PBE-GGA | relaxed" magmom_total_mub_per_cell=0.0 total_energy_ry_per_atom=-0.2422 e_form_mev_per_atom=-504 pbc="T T T"
Ca 0.0000 0.0000 0.0000
Ca 6.3246 2.5503 5.2464
Ca 6.3246 1.3548 1.3438
Ca 10.4389 2.5503 5.2464
Ca 10.4389 1.3548 1.3438
Ca 8.3817 0.0000 3.9026
Ca 6.3246 -1.3548 6.4614
Ca 6.3246 -2.5503 2.5588
Ca 10.4389 -1.3548 6.4614
Ca 10.4389 -2.5503 2.5588
Tl 3.6842 0.0000 0.0000
Tl 4.6976 0.0000 3.9026
Tl 12.0659 0.0000 3.9026
Tl 13.0793 0.0000 0.0000
Pd 8.3817 2.9346 2.9268
Pd 8.3817 0.9706 6.8294
Pd 8.3817 -0.9706 0.9758
Pd 8.3817 -2.9346 4.8784



3
Lattice="4.7782 0.0000 0.0000 -2.3891 4.1380 0.0000 0.0000 0.0000 3.7122" Properties=species:S:1:pos:R:3 comment="CaTlPd | Alexandria via LeMat-Bulk | PBE-GGA | relaxed" magmom_total_mub_per_cell=0.0 total_energy_ry_per_atom=-0.2687 e_form_mev_per_atom=-470 pbc="T T T"
Ca 0.0000 0.0000 0.0000
Tl 0.0000 2.7587 1.8561
Pd 2.3891 1.3793 1.8561



20
Lattice="9.9183 0.0000 0.0000 0.0000 4.8804 0.0000 0.0000 0.0000 9.5284" Properties=species:S:1:pos:R:3 comment="CaTl2Pd2 | Alexandria via LeMat-Bulk | PBE-GGA | relaxed" magmom_total_mub_per_cell=0.0 total_energy_ry_per_atom=-0.2805 e_form_mev_per_atom=-392 de_polymorph_mev_per_atom=0 pbc="T T T"
Ca 1.9603 1.2201 1.5102
Ca 2.9989 3.6603 6.2744
Ca 6.9194 1.2201 3.2540
Ca 7.9580 3.6603 8.0182
Tl 0.4590 1.2201 7.9160
Tl 0.9640 1.2201 4.8217
Tl 3.9951 3.6603 0.0575
Tl 4.5001 3.6603 3.1518
Tl 5.4182 1.2201 6.3766
Tl 5.9231 1.2201 9.4709
Tl 8.9543 3.6603 4.7067
Tl 9.4592 3.6603 1.6124
Pd 1.3424 3.6603 8.9775
Pd 1.7242 3.6603 3.4565
Pd 3.2350 1.2201 8.2207
Pd 3.6168 1.2201 4.2133
Pd 6.3015 3.6603 5.3151
Pd 6.6833 3.6603 1.3077
Pd 8.1941 1.2201 6.0719
Pd 8.5759 1.2201 0.5509



12
Lattice="3.8805 0.0000 0.0000 -1.9403 3.3606 0.0000 0.0000 0.0000 30.3012" Properties=species:S:1:pos:R:3 comment="Ca2TlPd | Alexandria via LeMat-Bulk | PBE-GGA | relaxed" magmom_total_mub_per_cell=0.0 total_energy_ry_per_atom=-0.2309 e_form_mev_per_atom=-251 de_polymorph_mev_per_atom=284 pbc="T T T"
Ca 0.0000 0.0000 3.2877
Ca 0.0000 0.0000 27.0135
Ca 0.0000 2.2404 16.9131
Ca 0.0000 2.2404 23.4885
Ca 1.9403 1.1202 6.8127
Ca 1.9403 1.1202 13.3881
Tl 0.0000 0.0000 0.0000
Tl 0.0000 2.2404 20.2008
Tl 1.9403 1.1202 10.1004
Pd 0.0000 0.0000 15.1506
Pd 0.0000 2.2404 5.0502
Pd 1.9403 1.1202 25.2510



7
Lattice="4.7169 0.0000 0.0000 -0.0202 5.3235 0.0000 -2.3286 -0.9491 6.7125" Properties=species:S:1:pos:R:3 comment="Ca2Tl2Pd3 | Alexandria via LeMat-Bulk | PBE-GGA | relaxed" magmom_total_mub_per_cell=0.0 total_energy_ry_per_atom=-0.2901 e_form_mev_per_atom=-473 pbc="T T T"
Ca 0.0135 0.3596 1.8715
Ca 2.3546 4.0148 4.8410
Tl 0.0125 1.1308 5.2262
Tl 2.3556 3.2436 1.4863
Pd -0.0101 2.6617 0.0000
Pd 0.0024 2.9818 2.9855
Pd 2.3656 1.3926 3.7270